A relaxed structure of TiMnCd2O6. Source: Alexandria via LeMat-Bulk, functional PBE+U.

Cell: 5.3390 5.4269 9.3172 Å, 90.00 124.94 90.00°
Last column: nearest neighbours and their distance in Å.
Space group P2_1/c (No. 14)
Inequivalent atoms, fractional coordinates:
1 Ti 0.0000 0.0000 0.0000 [2 per cell]  6 O 1.98-2.00
2 Mn 0.5000 0.0000 0.5000 [2 per cell]  6 O 1.94-1.95
3 Cd 0.2409 0.0386 0.7496 [4 per cell]  4 O 2.27-2.42
4 O 0.1603 0.2044 0.4532 [4 per cell]  1 Mn 1.95, 1 Ti 1.98
5 O 0.2535 0.7083 0.4541 [4 per cell]  1 Mn 1.94, 1 Ti 1.99
6 O 0.3423 0.0259 0.2532 [4 per cell]  1 Mn 1.95, 1 Ti 2.00

Properties
**Crystal system**: monoclinic
**Total moment**: 0.2997 μB per atom
**Uncorrected energy**: -0.4701 Ry per atom